SrCa2Te: relaxed, GGA-PBE.

Lattice parameters (Å, degrees): 11.048 11.048 11.048 22.31 22.31 22.31
Positions (direct):
Sr 0.250 0.250 0.250
Ca 0.023 0.023 0.023
Ca 0.477 0.477 0.477
Te 0.750 0.750 0.750

Values from the calculation:
formation energy (no corrections): -0.698 eV per atom
uncorrected energy: -2.905 eV per atom
magnetic moment: 0.0 μB per cell
space group: R-3m

***

SrCa2Te: relaxed, GGA-PBE.

Lattice parameters (Å, degrees): 7.324 7.324 7.324 147.61 132.67 58.52
Positions (direct):
Sr 0.750 0.250 0.500
Ca 0.050 0.050 0.000
Ca 0.450 0.450 0.000
Te 0.250 0.750 0.500

Values from the calculation:
formation energy (no corrections): -0.714 eV per atom
uncorrected energy: -2.920 eV per atom
magnetic moment: 0.0 μB per cell
space group: Immm

***

Sr3CaTe: relaxed, GGA-PBE.

Lattice parameters (Å, degrees): 6.520 6.520 6.520 90.00 90.00 90.00
Site moments in Bohr magnetons follow the coordinates.
Positions (direct):
Sr 0.000 0.500 0.000  0.14
Sr 0.000 0.000 0.500  0.14
Sr 0.500 0.000 0.000  0.11
Ca 0.000 0.000 0.000  0.27
Te 0.500 0.500 0.500  -0.01

Values from the calculation:
formation energy (no corrections): 0.453 eV per atom
uncorrected energy: -1.585 eV per atom
magnetic moment: 2.3 μB per cell
energy relative to the lowest polymorph listed for this composition: 919 meV/atom
space group: Pm-3m

***

Sr3Ca5Te8: relaxed, GGA-PBE.

Lattice parameters (Å, degrees): 9.221 9.221 9.224 60.01 60.01 60.00
Positions (direct):
Sr 0.500 0.000 0.500
Sr 0.000 0.000 0.500
Sr 0.000 0.500 0.500
Ca 0.500 0.000 0.000
Ca 0.500 0.500 0.000
Ca 0.000 0.000 0.000
Ca 0.000 0.500 0.000
Ca 0.500 0.500 0.500
Te 0.250 0.250 0.759
Te 0.250 0.741 0.759
Te 0.741 0.250 0.759
Te 0.746 0.746 0.763
Te 0.750 0.750 0.241
Te 0.750 0.259 0.241
Te 0.259 0.750 0.241
Te 0.254 0.254 0.237

Values from the calculation:
formation energy (no corrections): -1.679 eV per atom
uncorrected energy: -4.191 eV per atom
magnetic moment: 0.0 μB per cell
space group: R-3m

***

Sr2Ca2Te: relaxed, GGA-PBE.

Lattice parameters (Å, degrees): 8.633 8.633 6.291 90.00 90.00 90.00
Positions (direct):
Sr 0.338 0.838 0.000
Sr 0.838 0.662 0.000
Sr 0.662 0.162 0.000
Sr 0.162 0.338 0.000
Ca 0.152 0.652 0.500
Ca 0.652 0.848 0.500
Ca 0.848 0.348 0.500
Ca 0.348 0.152 0.500
Te 0.000 0.000 0.000
Te 0.500 0.500 0.000

Values from the calculation:
formation energy (no corrections): -0.352 eV per atom
uncorrected energy: -2.454 eV per atom
magnetic moment: 0.0 μB per cell
energy relative to the lowest polymorph listed for this composition: 60 meV/atom
space group: P4/mbm

***

SrCa2Te: relaxed, GGA-PBE.

Lattice parameters (Å, degrees): 6.911 6.911 6.911 138.17 138.17 60.65
Positions (direct):
Sr 0.500 0.500 0.000
Ca 0.000 0.000 0.000
Ca 0.250 0.750 0.500
Te 0.750 0.250 0.500

Values from the calculation:
formation energy (no corrections): -0.549 eV per atom
uncorrected energy: -2.756 eV per atom
magnetic moment: 0.0 μB per cell
space group: I-4m2